No. 1
CdTe8 | PBE-GGA | relaxed

abc: 7.5620 7.5620 7.5620
angles: 107.00 107.00 114.53
Fractional coordinates of all 9 atoms:
Te 0.0000 0.6778 0.6778
Te 0.3330 0.3330 0.6659
Te 0.3330 0.6670 0.0000
Te 0.6670 0.6670 0.3341
Te 0.6670 0.3330 0.0000
Te 0.6778 0.0000 0.6778
Te 0.0000 0.3222 0.3222
Te 0.3222 0.0000 0.3222
Cd 0.0000 0.0000 0.0000

Calculated values
Energy relative to the elements, uncorrected, eV/atom: 0.1464

---

No. 2
AcZrP2S8 | PBE-GGA | relaxed

abc: 5.9684 5.9684 8.7102
angles: 90.00 90.00 120.00
Each line ends with the local moment (μB).
Fractional coordinates of all 12 atoms:
P 0.3333 0.6667 0.7557  0.03
S 0.0036 0.6700 0.3087  0.01
S 0.9964 0.3300 0.6913  0.01
S 0.6664 0.9964 0.3087  0.01
S 0.3336 0.0036 0.6913  0.01
S 0.3333 0.6667 0.9890  0.01
S 0.6667 0.3333 0.0110  0.01
P 0.6667 0.3333 0.2443  0.03
Ac 0.0000 0.0000 0.0000  0.01
Zr 0.0000 0.0000 0.5000  0.32
S 0.3300 0.3336 0.3087  0.01
S 0.6700 0.6664 0.6913  0.01

Calculated values
Energy relative to the elements, uncorrected, eV/atom: -0.8448

---

No. 3
YbAlB4 | PBE-GGA | relaxed

abc: 3.1566 3.6017 5.3401
angles: 90.00 90.00 90.00
Fractional coordinates of all 6 atoms:
Yb 0.0000 0.0000 0.0000
B 0.0000 0.5000 0.6590
Al 0.5000 0.0000 0.5000
B 0.0000 0.5000 0.3410
B 0.5000 0.5000 0.1789
B 0.5000 0.5000 0.8211

Calculated values
Final energy, eV per atom: -5.558

---

No. 4
NaSmSCl | PBE-GGA | relaxed

abc: 3.9136 3.9140 7.6325
angles: 90.05 104.80 119.99
Fractional coordinates of all 4 atoms:
S 0.3056 0.5506 0.8715
Na 0.4941 0.1442 0.6537
Cl 0.9582 0.3777 0.3511
Sm 0.1200 0.9583 0.0935

Calculated values
Energy relative to the elements, uncorrected, eV/atom: -1.6293

---

No. 5
Pm3Pr2Nd4 | PBE-GGA | relaxed

abc: 3.6752 3.6752 27.4523
angles: 90.00 90.00 120.00
Fractional coordinates of all 9 atoms:
Pr 0.6667 0.3333 0.8716
Pm 0.0000 0.0000 0.9837
Pm 0.0000 0.0000 0.3229
Nd 0.0000 0.0000 0.7615
Pm 0.6667 0.3333 0.6525
Pr 0.6667 0.3333 0.0899
Nd 0.6667 0.3333 0.2177
Nd 0.0000 0.0000 0.5430
Nd 0.6667 0.3333 0.4343

Calculated values
Final energy, eV per atom: -4.706

---

No. 6
NbCu2Rh2S6 | PBE-GGA | relaxed

abc: 5.9534 5.9534 8.0860
angles: 111.75 111.75 114.46
Each line ends with the local moment (μB).
Fractional coordinates of all 11 atoms:
Nb 0.0000 0.0000 0.5000  0.74
S 0.7822 0.4410 0.2669  -0.01
Cu 0.8248 0.1752 0.0000  -0.01
S 0.1261 0.1261 0.2665  -0.01
Rh 0.6752 0.3248 0.5000  0.08
S 0.4410 0.7822 0.2669  -0.01
S 0.2178 0.5590 0.7331  -0.01
S 0.8739 0.8739 0.7335  -0.01
Cu 0.1752 0.8248 0.0000  -0.01
S 0.5590 0.2178 0.7331  -0.01
Rh 0.3248 0.6752 0.5000  0.08

Calculated values
Energy relative to the elements, uncorrected, eV/atom: -0.3961

---

No. 7
CaTbY2Se4 | PBE-GGA | relaxed

abc: 4.0937 7.1288 7.1265
angles: 109.15 90.00 90.00
Fractional coordinates of all 8 atoms:
Y 0.0000 0.5000 0.5000
Ca 0.0000 0.0000 0.0000
Se 0.5000 0.7489 0.7484
Se 0.5000 0.2511 0.2516
Se 0.0000 0.2495 0.7495
Tb 0.5000 0.5000 0.0000
Y 0.5000 0.0000 0.5000
Se 0.0000 0.7505 0.2505

Calculated values
Energy relative to the elements, uncorrected, eV/atom: -1.8232

---

No. 8
TbMgSc2Pt2 | PBE-GGA | relaxed

abc: 4.7376 4.7376 6.3838
angles: 90.00 90.00 120.00
Fractional coordinates of all 6 atoms:
Sc 0.6667 0.3333 0.3207
Tb 0.0000 0.0000 0.0000
Mg 0.0000 0.0000 0.5000
Pt 0.3333 0.6667 0.2504
Sc 0.3333 0.6667 0.6793
Pt 0.6667 0.3333 0.7496

Calculated values
Final energy, eV per atom: -6.081

---

No. 9
KLi2AcBi2 | PBE-GGA | relaxed

abc: 4.9408 4.9408 9.2502
angles: 90.00 90.00 120.00
Fractional coordinates of all 6 atoms:
Ac 0.0000 0.0000 0.5000
Li 0.3333 0.6667 0.7497
Bi 0.3333 0.6667 0.2792
K 0.0000 0.0000 0.0000
Bi 0.6667 0.3333 0.7208
Li 0.6667 0.3333 0.2503

Calculated values
Final energy, eV per atom: -3.476

---

No. 10
Li3PtW | PBE-GGA | relaxed

abc: 4.3327 4.3327 4.3327
angles: 90.00 90.00 90.00
Fractional coordinates of all 5 atoms:
Pt 0.0000 0.0000 0.0000
W 0.5000 0.5000 0.5000
Li 0.0000 0.0000 0.5000
Li 0.5000 0.0000 0.0000
Li 0.0000 0.5000 0.0000

Calculated values
Final energy, eV per atom: -3.828

---

No. 11
Pa2SbSe | PBE-GGA | relaxed

abc: 4.2613 4.2613 7.1542
angles: 72.67 72.67 60.00
Fractional coordinates of all 4 atoms:
Pa 0.7398 0.7398 0.7805
Sb 0.5000 0.5000 0.5000
Se 0.0000 0.0000 0.0000
Pa 0.2602 0.2602 0.2195

Calculated values
Energy relative to the elements, uncorrected, eV/atom: -0.8334

---

No. 12
LiInCu2 | PBE-GGA | relaxed

abc: 3.8232 2.8067 6.2141
angles: 65.43 90.00 90.00
Fractional coordinates of all 4 atoms:
Cu 0.0000 0.0121 0.9776
Li 0.5000 0.7500 0.7500
Cu 0.0000 0.4879 0.5224
In 0.5000 0.2500 0.2500

Calculated values
Final energy, eV per atom: -3.217